Co2BiHN: optimized geometry, GGA-PBE.

**N(E_F)**: 1.20 states/eV/atom
**E_tot**: -25.31 eV/cell
**Size of the total moment**: 3.91 μB/f.u.

The structure in CIF format:
```
data_Co2BiHN
_symmetry_space_group_name_H-M 'P 4/m m m'
_symmetry_Int_Tables_number 123
_symmetry_space_group_name_Hall '-P 4 2'
_cell_length_a 3.488
_cell_length_b 3.488
_cell_length_c 5.218
_cell_angle_alpha 90.00
_cell_angle_beta 90.00
_cell_angle_gamma 90.00
loop_
_atom_site_label
_atom_site_type_symbol
_atom_site_fract_x
_atom_site_fract_y
_atom_site_fract_z
_atom_site_occupancy
Co1 Co 0.000 0.500 0.000 1
Bi1 Bi 0.000 0.000 0.500 1
H1 H 0.500 0.500 0.000 1
N1 N 0.500 0.500 0.500 1
```